1.
First-principles (PBE-GGA) data for a relaxed structure of LiDy3Mg4, as listed in Alexandria.

```
LiDy3Mg4
1.0
3.7036 0.0000 0.0000
0.0000 3.7036 0.0000
0.0000 0.0000 15.0836
Li Dy Mg
1 3 4
Cartesian
0.0000 0.0000 0.0000
0.0000 0.0000 3.7223
0.0000 0.0000 7.5418
0.0000 0.0000 11.3612
1.8518 1.8518 1.6492
1.8518 1.8518 5.6262
1.8518 1.8518 9.4574
1.8518 1.8518 13.4344
```

## Properties
Its symmetry is P4/mmm. The value obtained for the calculated density is 4749 kg/m3. The value obtained for the calculated formation energy is -0.0620 eV/atom.

2.
First-principles (PBE-GGA) data for a relaxed structure of LaPm6YTm2, as listed in Alexandria.

```
LaPm6YTm2
1.0
4.6260 -7.6330 0.0000
4.6260 7.6330 0.0000
-1.3234 0.0000 9.6437
La Pm Y Tm
2 12 2 4
Cartesian
3.6335 6.1974 7.2327
4.2952 -6.1974 2.4109
3.2095 6.0030 3.6539
2.4732 3.4730 1.7481
5.3809 6.0030 1.1679
3.2975 2.6958 5.3476
3.9694 2.6958 9.1179
6.1172 3.4730 3.0737
1.8115 -3.4730 6.5700
3.9592 -2.6958 0.5258
4.6311 -2.6958 4.2961
2.5478 -6.0030 8.4758
5.4555 -3.4730 7.8955
4.7192 -6.0030 5.9897
4.2952 0.4523 2.4109
3.6335 -0.4523 7.2327
1.1001 0.7591 9.2008
1.7618 -0.7591 4.3789
6.1669 0.7591 5.2647
6.8286 -0.7591 0.4429
```

## Properties
Its symmetry is C2/c. The value obtained for the calculated density is 7001 kg/m3. The value obtained for the calculated formation energy is 0.1142 eV/atom.

3.
First-principles (PBE-GGA) data for a relaxed structure of Rb2Tl2Cd, as listed in Alexandria.

```
Rb2Tl2Cd
1.0
11.2635 0.0000 0.0000
0.0000 11.2635 0.0000
0.0000 0.0000 3.5404
Rb Tl Cd
4 4 2
Cartesian
2.2226 3.4092 0.0000
3.4092 9.0409 0.0000
7.8543 2.2226 0.0000
9.0409 7.8543 0.0000
1.0849 6.7167 1.7702
4.5468 1.0849 1.7702
6.7167 10.1786 1.7702
10.1786 4.5468 1.7702
0.0000 0.0000 0.0000
5.6318 5.6318 0.0000
```

## Properties
Its symmetry is P4/mbm. The value obtained for the calculated density is 5118 kg/m3. The energy above the lowest structure with this stoichiometry is 194 meV/atom. The value obtained for the calculated formation energy is 0.1385 eV/atom.

4.
First-principles (PBE-GGA) data for a relaxed structure of ZrPdPb3, as listed in Alexandria.

```
ZrPdPb3
1.0
5.6160 0.0000 0.0000
0.0000 5.6160 0.0000
0.0000 0.0000 5.6160
Zr Pd Pb
1 1 3
Cartesian
0.0000 0.0000 0.0000
2.8080 2.8080 2.8080
0.0000 0.0000 2.8080
0.0000 2.8080 0.0000
2.8080 0.0000 0.0000
```

## Properties
Its symmetry is Pm-3m. The value obtained for the calculated density is 7680 kg/m3. The energy above the lowest structure with this stoichiometry is 206 meV/atom. The value obtained for the calculated formation energy is 0.7010 eV/atom.

5.
First-principles (PBE-GGA) data for a relaxed structure of CdGeBiH, as listed in Alexandria.

```
CdGeBiH
1.0
3.6342 -2.7153 0.0000
3.6342 2.7153 0.0000
-1.6053 0.0000 4.2418
Cd Ge Bi H
1 1 1 1
Cartesian
0.0000 0.0000 0.0000
4.8129 0.0000 1.1703
1.9661 0.0000 2.5338
0.1630 0.0000 3.4048
```

## Properties
Its symmetry is Cm. The value obtained for the calculated density is 7836 kg/m3. The energy above the lowest structure with this stoichiometry is 112 meV/atom.

6.
First-principles (PBE-GGA) data for a relaxed structure of Mg3In4Sn4, as listed in Alexandria.

```
Mg3In4Sn4
1.0
3.4621 0.0000 0.0000
-0.0322 4.4231 0.0000
-1.1541 -1.8616 18.3482
Mg In Sn
3 4 4
Cartesian
0.0000 0.0000 0.0000
0.3965 0.2303 13.3632
1.8793 2.3312 4.9850
0.0933 0.0641 3.2888
0.3079 0.1792 10.0535
1.9679 2.3823 8.2947
2.1824 2.4974 15.0594
0.1970 0.1495 6.4462
0.4830 0.3063 16.7025
1.7928 2.2553 1.6457
2.0788 2.4121 11.9020
```

## Properties
Its symmetry is P-1. The value obtained for the calculated density is 5952 kg/m3. The value obtained for the calculated formation energy is -0.0400 eV/atom.

7.
First-principles (PBE-GGA) data for a relaxed structure of ZrSnOsPd, as listed in Alexandria.

```
ZrSnOsPd
1.0
0.0000 3.2941 3.2941
3.2941 0.0000 3.2941
3.2941 3.2941 0.0000
Zr Sn Os Pd
1 1 1 1
Cartesian
0.0000 0.0000 0.0000
3.2941 3.2941 3.2941
1.6471 1.6471 1.6471
4.9412 4.9412 4.9412
```

## Properties
Its symmetry is F-43m. The value obtained for the calculated density is 11767 kg/m3. The value obtained for the calculated formation energy is -0.3658 eV/atom.

8.
First-principles (PBE-GGA) data for a relaxed structure of LaScTl3, as listed in Alexandria.

```
LaScTl3
1.0
5.4667 0.0000 0.0000
0.0000 5.4667 0.0000
0.0000 0.0000 5.4667
La Sc Tl
1 1 3
Cartesian
0.0000 0.0000 0.0000
2.7333 2.7333 2.7333
0.0000 2.7333 2.7333
2.7333 0.0000 2.7333
2.7333 2.7333 0.0000
```

## Properties
Its symmetry is Pm-3m. The value obtained for the calculated density is 8101 kg/m3. The energy above the lowest structure with this stoichiometry is 172 meV/atom. The value obtained for the calculated formation energy is 0.0610 eV/atom.

9.
First-principles (PBE-GGA) data for a relaxed structure of Er3Cd2Hg7, as listed in Alexandria.

```
Er3Cd2Hg7
1.0
5.9041 0.0000 0.0000
0.0000 3.4715 0.0000
-1.9739 0.0000 14.4684
Er Cd Hg
3 2 7
Cartesian
0.0000 0.0000 0.0000
-0.9829 1.7357 9.5741
4.9131 1.7357 4.8943
1.9325 0.0000 4.6891
1.9977 0.0000 9.7793
0.9539 1.7357 2.4026
0.4693 0.0000 7.2464
-0.0269 0.0000 12.0091
2.9521 1.7357 0.0000
3.9571 0.0000 2.4592
3.4609 0.0000 7.2220
2.9763 1.7357 12.0658
```

## Properties
Its symmetry is P2/m. The value obtained for the calculated density is 11931 kg/m3. The energy above the lowest structure with this stoichiometry is 0 meV/atom. The value obtained for the calculated formation energy is -0.2359 eV/atom.

10.
First-principles (PBE-GGA) data for a relaxed structure of NaHgHPb2, as listed in Alexandria.

```
NaHgHPb2
1.0
4.7140 0.0000 0.0000
0.0000 4.7140 0.0000
0.0000 0.0000 5.5144
Na Hg H Pb
1 1 1 2
Cartesian
0.0000 0.0000 0.0000
2.3570 2.3570 0.0000
2.3570 2.3570 2.7572
0.0000 2.3570 2.7572
2.3570 0.0000 2.7572
```

## Properties
Its symmetry is P4/mmm. The value obtained for the calculated density is 8659 kg/m3. The energy above the lowest structure with this stoichiometry is 74 meV/atom.

11.
First-principles (PBE-GGA) data for a relaxed structure of LaAl2Pd, as listed in Alexandria.

```
LaAl2Pd
1.0
0.0000 3.4360 3.4360
3.4360 0.0000 3.4360
3.4360 3.4360 0.0000
La Al Pd
1 2 1
Cartesian
0.0000 0.0000 0.0000
1.7180 1.7180 1.7180
5.1540 5.1540 5.1540
3.4360 3.4360 3.4360
```

## Properties
Its symmetry is Fm-3m. The value obtained for the calculated density is 6125 kg/m3. The value obtained for the calculated formation energy is -0.4104 eV/atom.

12.
First-principles (PBE-GGA) data for a relaxed structure of PmGdFeAg, as listed in Alexandria.

```
PmGdFeAg
1.0
0.0000 3.5854 3.5854
3.5854 0.0000 3.5854
3.5854 3.5854 0.0000
Pm Gd Fe Ag
1 1 1 1
Cartesian
0.0000 0.0000 0.0000
3.5854 3.5854 3.5854
5.3781 5.3781 5.3781
1.7927 1.7927 1.7927
```

## Properties
Its symmetry is F-43m. The value obtained for the calculated density is 8394 kg/m3. The value obtained for the calculated formation energy is 0.0171 eV/atom.

13.
First-principles (PBE-GGA) data for a relaxed structure of AcCl4, as listed in Alexandria.

```
AcCl4
1.0
5.7695 0.0000 0.0000
0.0000 5.7695 0.0000
0.0000 0.0000 5.7695
Ac Cl
1 4
Cartesian
0.0000 0.0000 0.0000
0.0000 0.0000 2.8848
0.0000 2.8848 0.0000
2.8848 0.0000 0.0000
2.8848 2.8848 2.8848
```

## Properties
Its symmetry is Pm-3m. The value obtained for the calculated density is 3189 kg/m3. The energy above the lowest structure with this stoichiometry is 262 meV/atom. Its energy relative to the elements, uncorrected is -1.619 eV per atom.

14.
First-principles (PBE-GGA) data for a relaxed structure of ZnSO2, as listed in Alexandria.

```
ZnSO2
1.0
0.0000 2.7747 2.7747
2.7747 0.0000 2.7747
2.7747 2.7747 0.0000
Zn S O
1 1 2
Cartesian
0.0000 0.0000 0.0000
2.7747 2.7747 2.7747
1.3874 1.3874 1.3874
4.1621 4.1621 4.1621
```

## Properties
Its symmetry is Fm-3m. The value obtained for the calculated density is 5032 kg/m3. The energy above the lowest structure with this stoichiometry is 1123 meV/atom. Its energy relative to the elements, uncorrected is 0.429 eV per atom.

15.
First-principles (PBE-GGA) data for a relaxed structure of LaAgIr2, as listed in Alexandria.

```
LaAgIr2
1.0
1.4682 0.8477 9.8025
-1.4682 0.8477 9.8025
0.0000 -1.6954 9.8025
La Ag Ir
1 1 2
Cartesian
0.0000 0.0000 0.0000
0.0000 0.0000 14.7037
0.0000 0.0000 7.2443
0.0000 0.0000 22.1631
```

## Properties
Its symmetry is R-3m. The value obtained for the calculated density is 14318 kg/m3. The energy above the lowest structure with this stoichiometry is 501 meV/atom. The value obtained for the calculated formation energy is 0.4150 eV/atom.

16.
First-principles (PBE-GGA) data for a relaxed structure of TmPu2Tc, as listed in Alexandria.

```
TmPu2Tc
1.0
1.6548 0.9554 10.0590
-1.6548 0.9554 10.0590
0.0000 -1.9108 10.0590
Tm Pu Tc
1 2 1
Cartesian
0.0000 0.0000 0.0000
0.0000 0.0000 7.1467
0.0000 0.0000 23.0301
0.0000 0.0000 15.0884
```

## Properties
Its symmetry is R-3m. The value obtained for the calculated density is 13138 kg/m3. The energy above the lowest structure with this stoichiometry is 170 meV/atom. The value obtained for the calculated formation energy is 0.2526 eV/atom.

17.
First-principles (PBE-GGA) data for a relaxed structure of HgC5, as listed in Alexandria.

```
HgC5
1.0
3.6573 0.0000 0.0000
-1.8287 3.1673 0.0000
0.0000 0.0000 7.8448
Hg C
1 5
Cartesian
0.0000 0.0000 0.0000
-0.9143 1.5837 3.9224
0.0000 2.1115 0.0000
1.8287 0.0000 3.9224
0.9143 1.5837 3.9224
1.8287 1.0558 0.0000
```

## Properties
Its symmetry is P6/mmm. The value obtained for the calculated density is 4763 kg/m3. The energy above the lowest structure with this stoichiometry is 2524 meV/atom. The value obtained for the calculated formation energy is 3.5550 eV/atom.

18.
First-principles (PBE-GGA) data for a relaxed structure of CdP2RhCl, as listed in Alexandria.

```
CdP2RhCl
1.0
4.8998 0.0000 0.0000
0.0000 4.8998 0.0000
0.0000 0.0000 5.0726
Cd P Rh Cl
1 2 1 1
Cartesian
0.0000 0.0000 0.0000
0.0000 2.4499 0.0000
2.4499 0.0000 0.0000
2.4499 2.4499 2.5363
0.0000 0.0000 2.5363
```

## Properties
Its symmetry is P4/mmm. The value obtained for the calculated density is 4264 kg/m3. The energy above the lowest structure with this stoichiometry is 1041 meV/atom. Its energy relative to the elements, uncorrected is 1.315 eV per atom.

19.
First-principles (PBE-GGA) data for a relaxed structure of TaCo3Au, as listed in Alexandria.

```
TaCo3Au
1.0
4.4504 0.0000 0.0000
0.0000 4.4504 0.0000
0.0000 0.0000 4.4504
Ta Co Au
1 3 1
Cartesian
0.0000 0.0000 0.0000
0.0000 0.0000 2.2252
0.0000 2.2252 0.0000
2.2252 0.0000 0.0000
2.2252 2.2252 2.2252
```

## Properties
Its symmetry is Pm-3m. The value obtained for the calculated density is 10450 kg/m3. The energy above the lowest structure with this stoichiometry is 0 meV/atom. The value obtained for the calculated formation energy is 1.3694 eV/atom.

20.
First-principles (PBE-GGA) data for a relaxed structure of Dy4TlAu3, as listed in Alexandria.

```
Dy4TlAu3
1.0
10.2605 0.0000 0.0000
0.0000 7.4025 0.0000
0.0000 0.0000 5.1306
Dy Tl Au
8 2 6
Cartesian
0.0000 1.7730 0.0000
0.0000 5.6294 0.0000
2.5651 1.7731 2.5666
2.5651 5.6293 2.5666
5.1302 1.7730 0.0000
5.1302 5.6294 0.0000
7.6954 1.7731 2.5640
7.6954 5.6293 2.5640
0.0000 3.7012 2.5653
5.1302 3.7012 2.5653
0.0000 0.0000 2.5653
2.5651 0.0000 0.0007
2.5651 3.7012 0.0057
5.1302 0.0000 2.5653
7.6954 0.0000 5.1300
7.6954 3.7012 5.1249
```

## Properties
Its symmetry is Pmma. The value obtained for the calculated density is 12317 kg/m3. The value obtained for the calculated formation energy is -0.7106 eV/atom.